1.
MgIr2Rh | GGA-PBEsol | optimized geometry

Unit cell a=4.343 b=4.343 c=4.343 alpha=60.00 beta=60.00 gamma=60.00
Each line ends with the local moment (μB).
Element x y z (fractional)
Mg1 0.500 0.500 0.500  0.00
Ir1 0.000 0.000 0.000  0.15
Ir2 0.750 0.750 0.750  0.22
Rh1 0.250 0.250 0.250  0.23

Results
symmetry: F-43m, No. 216
density of states at the Fermi level: 1.74 states/eV/atom
calculated formation energy: 0.120 eV per atom

***

2.
AlHg2As | GGA-PBEsol | optimized geometry

Unit cell a=4.900 b=4.900 c=4.900 alpha=60.00 beta=60.00 gamma=60.00
Element x y z (fractional)
Hg1 0.000 0.000 0.000
Hg2 0.750 0.750 0.750
As1 0.250 0.250 0.250
Al1 0.500 0.500 0.500

Results
symmetry: F-43m, No. 216
density of states at the Fermi level: 0.48 states/eV/atom
calculated formation energy: 0.202 eV per atom

***

3.
ZnMoSe2N | GGA-PBEsol | optimized geometry

Unit cell a=3.742 b=4.996 c=4.996 alpha=90.00 beta=90.00 gamma=90.00
Element x y z (fractional)
Se1 0.000 0.000 0.500
Se2 0.000 0.500 0.000
Mo1 0.000 0.000 0.000
N1 0.500 0.000 0.000
Zn1 0.500 0.500 0.500

Results
symmetry: P4/mmm, No. 123
ΔE_f (raw): 0.16 eV per atom
density of states at the Fermi level: 0.46 states/eV/atom

***

What did the third record say?
ZnMoSe2N | GGA-PBEsol | optimized geometry

Unit cell a=3.742 b=4.996 c=4.996 alpha=90.00 beta=90.00 gamma=90.00
Element x y z (fractional)
Se1 0.000 0.000 0.500
Se2 0.000 0.500 0.000
Mo1 0.000 0.000 0.000
N1 0.500 0.000 0.000
Zn1 0.500 0.500 0.500

Results
symmetry: P4/mmm, No. 123
ΔE_f (raw): 0.16 eV per atom
density of states at the Fermi level: 0.46 states/eV/atom

***

density of states at the Fermi level of number 1 (MgIr2Rh)?
1.74 states/eV/atom